Record 1
A relaxed Ce2Th2SiOs4 crystal, computed with GGA-PBE.

- Mass density: 13.4 g cm⁻³
- Spin magnetization: 0.00 μB/f.u.
- Symmetry: No. 139

Cell: 6.4301 6.4301 6.4301 Å, 91.03 119.41 119.41°
Last column: nearest neighbours and their distance in Å.
Atoms (fractional coordinates):
1 Ce 0.0000 0.6879 0.6879  4 Os 2.80, 1 Si 2.81
2 Ce 0.0000 0.3121 0.3121  4 Os 2.80, 1 Si 2.81
3 Th 0.5000 0.7500 0.2500  8 Os 3.22, 4 Ce 3.29
4 Th 0.5000 0.2500 0.7500  8 Os 3.22, 4 Ce 3.29
5 Si 0.0000 0.0000 0.0000  4 Os 2.36
6 Os 0.0000 0.7433 0.2567  1 Si 2.36
7 Os 0.4865 0.7433 0.7433  1 Si 2.36
8 Os 0.0000 0.2567 0.7433  1 Si 2.36
9 Os 0.5135 0.2567 0.2567  1 Si 2.36

---

Record 2
A relaxed CeTiSi2Os crystal, computed with GGA-PBE.

- Mass density: 8.2 g cm⁻³
- Spin magnetization: 0.58 μB/f.u.
- Symmetry: No. 119

Cell: 4.0393 4.0393 6.1257 Å, 109.25 109.25 90.00°
Last column: nearest neighbours and their distance in Å.
Atoms (fractional coordinates):
1 Ce 0.0000 0.0000 0.0000  8 Si 3.11, 4 Os 3.38, 4 Ti 3.38
2 Ti 0.2500 0.7500 0.5000  4 Si 2.51
3 Si 0.6124 0.6124 0.2249  1 Si 2.44, 2 Os 2.51, 2 Ti 2.51
4 Si 0.3876 0.3876 0.7751  1 Si 2.44, 2 Ti 2.51, 2 Os 2.51
5 Os 0.7500 0.2500 0.5000  4 Si 2.51

---

Record 3
A relaxed CeVSi2Os crystal, computed with GGA-PBE.

- Mass density: 8.4 g cm⁻³
- Spin magnetization: 1.63 μB/f.u.
- Symmetry: No. 119

Cell: 4.0496 4.0496 5.9751 Å, 109.81 109.81 90.00°
Last column: nearest neighbours and their distance in Å.
Atoms (fractional coordinates):
1 Ce 0.0000 0.0000 0.0000  8 Si 3.12, 4 Os 3.31, 4 V 3.31
2 V 0.7500 0.2500 0.5000  4 Si 2.45
3 Si 0.6180 0.6180 0.2360  2 Os 2.45, 2 V 2.45, 1 Si 2.48
4 Si 0.3820 0.3820 0.7640  2 V 2.45, 2 Os 2.45, 1 Si 2.48
5 Os 0.2500 0.7500 0.5000  4 Si 2.45

---

Record 4
A relaxed Ce3SmOs crystal, computed with GGA-PBE.

- Mass density: 7.7 g cm⁻³
- ΔE to the lowest computed polymorph: 0.1308 eV per atom
- Spin magnetization: 2.36 μB/f.u.
- Symmetry: No. 221

Cell: 5.4651 5.4651 5.4651 Å, 90.00 90.00 90.00°
Last column: nearest neighbours and their distance in Å.
Atoms (fractional coordinates):
1 Os 0.0000 0.0000 0.0000  6 Ce 2.73
2 Ce 0.0000 0.5000 0.0000  2 Os 2.73
3 Ce 0.0000 0.0000 0.5000  2 Os 2.73
4 Ce 0.5000 0.0000 0.0000  2 Os 2.73
5 Sm 0.5000 0.5000 0.5000  12 Ce 3.86

---

Record 5
A relaxed Ce3SmOs2 crystal, computed with GGA-PBE.

- Mass density: 11.3 g cm⁻³
- Spin magnetization: 0.00 μB/f.u.
- Symmetry: No. 12

Cell: 4.4448 8.7577 8.5378 Å, 118.16 90.00 104.70°
Last column: nearest neighbours and their distance in Å.
Atoms (fractional coordinates):
1 Ce 0.2864 0.5728 0.6370  2 Os 2.72-2.82, 2 Ce 3.02
2 Ce 0.9208 0.8415 0.5860  2 Os 2.78, 3 Ce 3.07
3 Ce 0.6219 0.2438 0.6919  4 Os 2.88-3.19, 2 Ce 3.07
4 Ce 0.3781 0.7562 0.3081  4 Os 2.88-3.19, 2 Ce 3.07
5 Ce 0.0792 0.1585 0.4140  2 Os 2.78, 3 Ce 3.07
6 Ce 0.7136 0.4272 0.3630  2 Os 2.72-2.82, 2 Ce 3.02
7 Sm 0.8912 0.7824 0.9769  3 Os 2.84-3.04
8 Sm 0.1088 0.2176 0.0231  3 Os 2.84-3.04
9 Os 0.4771 0.9542 0.8097  4 Ce 2.78-3.07, 1 Os 2.95, 2 Sm 3.04
10 Os 0.5229 0.0458 0.1903  4 Ce 2.78-3.07, 1 Os 2.95, 2 Sm 3.04
11 Os 0.7662 0.5324 0.1091  3 Ce 2.72-2.88, 2 Os 2.78, 1 Sm 2.84
12 Os 0.2338 0.4676 0.8909  3 Ce 2.72-2.88, 2 Os 2.78, 1 Sm 2.84

---

Record 6
A relaxed Ce4Sm3Os4 crystal, computed with GGA-PBE.

- Mass density: 11.1 g cm⁻³
- Spin magnetization: 0.00 μB/f.u.
- Symmetry: No. 71

Cell: 3.7655 9.3221 9.0947 Å, 120.83 101.95 90.00°
Last column: nearest neighbours and their distance in Å.
Atoms (fractional coordinates):
1 Ce 0.3359 0.1394 0.6717  3 Os 2.63-2.74
2 Ce 0.6641 0.4676 0.3283  3 Os 2.63-2.74
3 Ce 0.6641 0.8606 0.3283  3 Os 2.63-2.74
4 Ce 0.3359 0.5324 0.6717  3 Os 2.63-2.74
5 Sm 0.1085 0.1085 0.2170  6 Os 3.18-3.27, 1 Sm 3.29, 4 Ce 3.50
6 Sm 0.8915 0.8915 0.7830  6 Os 3.18-3.27, 1 Sm 3.29, 4 Ce 3.50
7 Sm 0.0000 0.5000 0.0000  6 Os 3.26-3.29, 8 Ce 3.62
8 Os 0.2151 0.7151 0.4302  4 Ce 2.74
9 Os 0.7849 0.2849 0.5698  4 Ce 2.74
10 Os 0.5000 0.7889 0.0000  2 Ce 2.63
11 Os 0.5000 0.2111 0.0000  2 Ce 2.63

---

Record 7
A relaxed CeSm2Os crystal, computed with GGA-PBE.

- Mass density: 9.2 g cm⁻³
- ΔE to the lowest computed polymorph: 0.0345 eV per atom
- Spin magnetization: 0.37 μB/f.u.
- Symmetry: No. 11

Cell: 3.8898 6.4393 9.5466 Å, 90.00 90.00 107.54°
Last column: nearest neighbours and their distance in Å.
Atoms (fractional coordinates):
1 Ce 0.4136 0.8282 0.2500  2 Os 2.65
2 Ce 0.5864 0.1718 0.7500  2 Os 2.65
3 Sm 0.1444 0.2879 0.4315  3 Os 3.01-3.23
4 Sm 0.8556 0.7121 0.5685  3 Os 3.01-3.23
5 Sm 0.8556 0.7121 0.9315  3 Os 3.01-3.23
6 Sm 0.1444 0.2879 0.0685  3 Os 3.01-3.23
7 Os 0.7668 0.5340 0.2500  2 Ce 2.65
8 Os 0.2332 0.4660 0.7500  2 Ce 2.65

---

Record 8
A relaxed Ce2SmOs2 crystal, computed with GGA-PBE.

- Mass density: 11.2 g cm⁻³
- ΔE to the lowest computed polymorph: 0.0210 eV per atom
- Spin magnetization: 0.00 μB/f.u.
- Symmetry: No. 12

Cell: 4.2285 6.4050 9.6646 Å, 79.84 77.36 70.73°
Last column: nearest neighbours and their distance in Å.
Atoms (fractional coordinates):
1 Ce 0.0481 0.6120 0.2918  4 Os 2.81-3.04
2 Ce 0.1779 0.7304 0.9137  2 Os 2.70
3 Ce 0.9519 0.3880 0.7082  4 Os 2.81-3.04
4 Ce 0.8221 0.2696 0.0863  2 Os 2.70
5 Sm 0.6957 0.9668 0.6418  4 Os 2.93-3.11
6 Sm 0.3043 0.0332 0.3582  4 Os 2.93-3.11
7 Os 0.3797 0.6517 0.5889  1 Os 2.62, 2 Ce 2.81, 2 Sm 2.93
8 Os 0.4409 0.1991 0.9192  1 Os 2.70, 2 Ce 2.70
9 Os 0.6203 0.3483 0.4111  1 Os 2.62, 2 Ce 2.81, 2 Sm 2.93
10 Os 0.5591 0.8009 0.0808  1 Os 2.70, 2 Ce 2.70

---

Record 9
A relaxed Ce3SmOs crystal, computed with GGA-PBE.

- Mass density: 9.1 g cm⁻³
- ΔE to the lowest computed polymorph: 0.0000 eV per atom
- Spin magnetization: 0.00 μB/f.u.
- Symmetry: No. 194

Cell: 6.0246 7.2761 7.2761 Å, 120.00 90.00 90.00°
Last column: nearest neighbours and their distance in Å.
Atoms (fractional coordinates):
1 Ce 0.7500 0.6261 0.8131  2 Os 2.80
2 Ce 0.2500 0.8130 0.6261  2 Os 2.80
3 Ce 0.2500 0.3739 0.1869  2 Os 2.80
4 Ce 0.7500 0.1870 0.3739  2 Os 2.80
5 Ce 0.2500 0.8130 0.1868  2 Os 2.80
6 Ce 0.7500 0.1870 0.8132  2 Os 2.80
7 Sm 0.7499 0.6667 0.3333  12 Ce 3.53-3.65
8 Sm 0.2501 0.3333 0.6667  12 Ce 3.53-3.65
9 Os 0.0000 0.0000 0.0000  6 Ce 2.80, 2 Os 3.01
10 Os 0.5000 0.0000 0.0000  6 Ce 2.80, 2 Os 3.01

---

Record 10
A relaxed Ce2SmOs2 crystal, computed with GGA-PBE.

- Mass density: 10.7 g cm⁻³
- ΔE to the lowest computed polymorph: 0.0000 eV per atom
- Spin magnetization: 0.08 μB/f.u.
- Symmetry: No. 11

Cell: 4.7297 5.1813 10.3145 Å, 84.42 90.00 90.00°
Last column: nearest neighbours and their distance in Å.
Atoms (fractional coordinates):
1 Ce 0.2500 0.8820 0.8894  2 Os 2.55-2.83
2 Ce 0.7500 0.1180 0.1106  2 Os 2.55-2.83
3 Ce 0.2500 0.2305 0.5322  4 Os 2.67-2.92
4 Ce 0.7500 0.7695 0.4678  4 Os 2.67-2.92
5 Sm 0.2500 0.5741 0.2198  5 Os 3.00-3.06
6 Sm 0.7500 0.4259 0.7802  5 Os 3.00-3.06
7 Os 0.2500 0.6868 0.6320  5 Ce 2.67-2.93
8 Os 0.7500 0.3132 0.3680  5 Ce 2.67-2.93
9 Os 0.2500 0.3406 0.9584  2 Ce 2.55-2.83
10 Os 0.7500 0.6594 0.0416  2 Ce 2.55-2.83

---

Record 11
A relaxed CeSm2Os crystal, computed with GGA-PBE.

- Mass density: 9.2 g cm⁻³
- ΔE to the lowest computed polymorph: 0.0000 eV per atom
- Spin magnetization: 0.49 μB/f.u.
- Symmetry: No. 62

Cell: 6.4700 7.2494 9.7101 Å, 90.00 90.00 90.00°
Last column: nearest neighbours and their distance in Å.
Atoms (fractional coordinates):
1 Ce 0.6558 0.5533 0.2500  2 Os 2.55-2.68
2 Ce 0.8442 0.0533 0.2500  2 Os 2.55-2.68
3 Ce 0.3442 0.4467 0.7500  2 Os 2.55-2.68
4 Ce 0.1558 0.9467 0.7500  2 Os 2.55-2.68
5 Sm 0.1734 0.6711 0.0654  3 Os 3.00-3.31
6 Sm 0.3266 0.1711 0.4346  3 Os 3.00-3.31
7 Sm 0.8266 0.3289 0.5654  3 Os 3.00-3.31
8 Sm 0.6734 0.8289 0.9346  3 Os 3.00-3.31
9 Sm 0.8266 0.3289 0.9346  3 Os 3.00-3.31
10 Sm 0.6734 0.8289 0.5654  3 Os 3.00-3.31
11 Sm 0.1734 0.6711 0.4346  3 Os 3.00-3.31
12 Sm 0.3266 0.1711 0.0654  3 Os 3.00-3.31
13 Os 0.0161 0.3705 0.2500  2 Ce 2.55-2.68
14 Os 0.4839 0.8705 0.2500  2 Ce 2.55-2.68
15 Os 0.9839 0.6295 0.7500  2 Ce 2.55-2.68
16 Os 0.5161 0.1295 0.7500  2 Ce 2.55-2.68

---

Record 12
A relaxed CeSmOs4 crystal, computed with GGA-PBE.

- Mass density: 15.6 g cm⁻³
- Spin magnetization: 0.00 μB/f.u.
- Symmetry: No. 216

Cell: 5.4065 5.4065 5.4065 Å, 60.00 60.00 60.00°
Last column: nearest neighbours and their distance in Å.
Atoms (fractional coordinates):
1 Os 0.6250 0.6250 0.1251  6 Os 2.70
2 Os 0.6250 0.1251 0.6250  6 Os 2.70
3 Os 0.6250 0.6250 0.6250  6 Os 2.70
4 Os 0.1251 0.6250 0.6250  6 Os 2.70
5 Ce 0.0000 0.0000 0.0000  12 Os 3.17, 4 Sm 3.31
6 Sm 0.2500 0.2500 0.2500  12 Os 3.17, 4 Ce 3.31

---

Number 1: VASP energy -77.398 eV per formula unit. Number 2: VASP energy -39.631 eV per formula unit. Number 3: VASP energy -40.231 eV per formula unit. Number 4: VASP energy -33.303 eV per formula unit. Number 5: VASP energy -45.481 eV per formula unit. Number 6: VASP energy -83.995 eV per formula unit. Number 7: VASP energy -27.155 eV per formula unit. Number 8: VASP energy -39.523 eV per formula unit. Number 9: VASP energy -33.956 eV per formula unit. Number 10: VASP energy -39.628 eV per formula unit. Number 11: VASP energy -27.293 eV per formula unit. Number 12: VASP energy -56.754 eV per formula unit.